First-principles (PBE) data for HgSbIr2 after structural relaxation, as listed in Alexandria.

a = 8.641 Å, b = 8.641 Å, c = 8.641 Å
α = 21.11°, β = 21.11°, γ = 21.11°
Positions (direct):
Hg (0.750, 0.750, 0.750)
Ir (0.994, 0.994, 0.994)
Ir (0.506, 0.506, 0.506)
Sb (0.250, 0.250, 0.250)

E above lowest polymorph	0.022	eV/atom
Fermi-level density of states	3.00	states/eV/f.u.
E_tot	-20.77	eV/cell
E_form (uncorrected)	345	meV per atom